Computed, not measured: a relaxed CrCd3B crystal at the GGA-PBE level of DFT.

abc: 4.603 4.603 4.603
angles: 90.00 90.00 90.00
Space group Pm-3m (No. 221)
Unique sites:
Cr 0.000 0.000 0.000 x1
Cd 0.000 0.500 0.500 x3
B 0.500 0.500 0.500 x1

- Total magnetization: 4.952 Bohr magnetons per cell
- E above lowest polymorph: 0.0 meV/atom
- E_form: 372 kJ/mol of formula units
- D(E_F): 0.739 states/eV/atom

Computed, not measured: a relaxed Cr2CdB crystal at the GGA-PBE level of DFT.

abc: 6.042 6.042 6.042
angles: 90.00 90.00 90.00
Space group Fm-3m (No. 225)
Unique sites:
Cr 0.250 0.250 0.250 x8
Cd 0.000 0.000 0.000 x4
B 0.000 0.000 0.500 x4

- Total magnetization: 24.729 Bohr magnetons per cell
- E above lowest polymorph: 0.0 meV/atom
- E_form: 357 kJ/mol of formula units
- D(E_F): 0.853 states/eV/atom

Computed, not measured: a relaxed CrCdB2 crystal at the GGA-PBE level of DFT.

abc: 5.901 5.901 5.821
angles: 90.00 90.00 90.00
Space group I-42d (No. 122)
Unique sites:
Cr 0.000 0.000 0.000 x4
Cd 0.000 0.000 0.500 x4
B 0.191 0.250 0.125 x8

- Total magnetization: 0.001 Bohr magnetons per cell
- E_form: 419 kJ/mol of formula units
- D(E_F): 0.304 states/eV/atom

Computed, not measured: a relaxed Cr2CdB crystal at the GGA-PBE level of DFT.

abc: 3.964 3.964 15.358
angles: 90.00 90.00 90.00
Space group I-42d (No. 122)
Unique sites:
Cr 0.062 0.750 0.125 x8
Cd 0.000 0.000 0.500 x4
B 0.000 0.000 0.000 x4

- Total magnetization: 0.001 Bohr magnetons per cell
- E above lowest polymorph: 135.6 meV/atom
- E_form: 409 kJ/mol of formula units
- D(E_F): 1.367 states/eV/atom

Computed, not measured: a relaxed Cr2CdHgB crystal at the GGA-PBE level of DFT.

abc: 5.172 5.172 5.219
angles: 90.00 90.00 90.00
Space group P4/mmm (No. 123)
Unique sites:
Cr 0.000 0.500 0.000 x2
Cd 0.000 0.000 0.500 x1
Hg 0.000 0.000 0.000 x1
B 0.500 0.500 0.500 x1

- Total magnetization: 9.119 Bohr magnetons per cell
- E_form: 953 kJ/mol of formula units
- D(E_F): 0.638 states/eV/atom

Computed, not measured: a relaxed K2CrCdB crystal at the GGA-PBE level of DFT.

abc: 6.218 6.218 4.114
angles: 90.00 90.00 90.00
Space group P4/mmm (No. 123)
Unique sites:
K 0.000 0.500 0.000 x2
Cr 0.000 0.000 0.500 x1
Cd 0.500 0.500 0.500 x1
B 0.000 0.000 0.000 x1

- Total magnetization: 3.775 Bohr magnetons per cell
- E_form: 357 kJ/mol of formula units
- D(E_F): 0.424 states/eV/atom

Computed, not measured: a relaxed MgCrCd2B crystal at the GGA-PBE level of DFT.

abc: 5.005 5.005 4.797
angles: 90.00 90.00 90.00
Space group P4/mmm (No. 123)
Unique sites:
Mg 0.000 0.000 0.000 x1
Cr 0.000 0.000 0.500 x1
Cd 0.000 0.500 0.000 x2
B 0.500 0.500 0.500 x1

- Total magnetization: 0.048 Bohr magnetons per cell
- E_form: 1011 kJ/mol of formula units
- D(E_F): 1.351 states/eV/atom

> What is the formula in the seventh record?

MgCrCd2B

> Which formula does entry 3 have?

CrCdB2